# 1
Here is a relaxed structure of PRhCl2 from Alexandria. Energies are from PBE.

Cell: 3.618 4.944 11.996 Å, 90.00 90.00 90.00°
Space group Imm2 (No. 44)
One atom of each set of equivalent atoms:
P  0.000  0.000  0.000 (multiplicity 2)
Rh  0.000  0.500  0.397 (multiplicity 2)
Cl  0.000  0.000  0.752 (multiplicity 2)
Cl  0.000  0.500  0.971 (multiplicity 2)

Properties
* mass density: 3.17 Mg/m³
* formation energy from raw total energies: -105 meV per atom
* excess energy over the best structure of this formula in the dataset: 0.632 eV per atom
* total moment: 0.7 Bohr magnetons per cell
* electronic total energy: -16.87 eV/f.u.

# 2
Here is a relaxed structure of ScCu9Sn2 from Alexandria. Energies are from PBE.

Cell: 4.9981 4.9981 24.6525 Å, 90.00 90.00 120.00°
Space group R-3m (No. 166, hexagonal axes)
One atom of each set of equivalent atoms:
Sc  0.0000  0.0000  0.0000 (multiplicity 3)
Cu  0.0000  0.0000  0.3335 (multiplicity 6)
Cu  0.0000  0.0000  0.5000 (multiplicity 3)
Cu  0.0019  0.5009  0.9178 (multiplicity 18)
Sn  0.0000  0.0000  0.1356 (multiplicity 6)

Properties
* mass density: 7.98 Mg/m³
* formation energy from the elements: -73 meV per atom
* total moment: 0.0 Bohr magnetons per cell
* electronic total energy: -52.08 eV/f.u.

# 3
Here is a relaxed structure of Be2NbIO from Alexandria. Energies are from PBE.

Cell: 4.687 4.687 4.040 Å, 90.00 90.00 90.00°
Space group P4/mmm (No. 123)
One atom of each set of equivalent atoms:
Be  0.000  0.500  0.000 (multiplicity 2)
Nb  0.000  0.000  0.500 (multiplicity 1)
I  0.500  0.500  0.000 (multiplicity 1)
O  0.500  0.500  0.500 (multiplicity 1)

Properties
* mass density: 4.75 Mg/m³
* formation energy from raw total energies: 1461 meV per atom
* total moment: 1.8 Bohr magnetons per cell
* electronic total energy: -16.73 eV/f.u.